Record 1
DFT (PBE) results for a relaxed Sb2TeAsRh crystal.

The crystal system is tetragonal. The uncorrected formation energy comes out at 1.06 eV/atom. Its polymorph energy (0 for the lowest one) is 601 meV/atom.

It has space group P4/mmm (No. 123), with a = 5.184 Å, b = 5.184 Å, c = 5.380 Å, α = 90.00°, β = 90.00° and γ = 90.00°. Symmetry generates all atoms from Sb at (0.000, 0.500, 0.000), Te at (0.000, 0.000, 0.500), As at (0.000, 0.000, 0.000) and Rh at (0.500, 0.500, 0.500).

Record 2
DFT (PBE) results for a relaxed Th2SbAsRh6 crystal.

The crystal system is orthorhombic. The uncorrected formation energy comes out at -0.69 eV/atom.

It has space group Pmmn (No. 59, origin choice 2), with a = 5.573 Å, b = 8.623 Å, c = 8.338 Å, α = 90.00°, β = 90.00° and γ = 90.00°. Symmetry generates all atoms from Th at (0.250, 0.012, 0.238), Sb at (0.250, 0.250, 0.772), As at (0.250, 0.750, 0.741), Rh at (0.001, 0.250, 0.502), Rh at (0.001, 0.750, 0.973) and Rh at (0.250, 0.502, 0.596).

Record 3
DFT (PBE) results for a relaxed Th3SbAs2Rh8 crystal.

The crystal system is trigonal. The uncorrected formation energy comes out at -0.71 eV/atom.

It has space group P-3m1 (No. 164), with a = 5.5520 Å, b = 5.5520 Å, c = 9.8572 Å, α = 90.00°, β = 90.00° and γ = 120.00°. Symmetry generates all atoms from Th at (0.0000, 0.0000, 0.0000), Th at (0.3333, 0.6667, 0.5811), Sb at (0.0000, 0.0000, 0.5000), As at (0.3333, 0.6667, 0.0929), Rh at (0.1663, 0.3327, 0.2767) and Rh at (0.3333, 0.6667, 0.8477).

Record 4
DFT (PBE) results for a relaxed ThSb2As2Rh7 crystal.

The crystal system is monoclinic. The uncorrected formation energy comes out at -0.41 eV/atom.

It has space group C2/m (No. 12), with a = 5.614 Å, b = 5.632 Å, c = 14.802 Å, α = 90.00°, β = 97.41° and γ = 90.00°. Symmetry generates all atoms from Th at (0.000, 0.000, 0.000), Sb at (0.149, 0.000, 0.416), As at (0.085, 0.500, 0.246), Rh at (0.000, 0.500, 0.000), Rh at (0.118, 0.500, 0.414) and Rh at (0.197, 0.250, 0.850).

Record 5
DFT (PBE) results for a relaxed Tm3SbAs2Rh9 crystal.

The crystal system is trigonal. The uncorrected formation energy comes out at -0.46 eV/atom.

It has space group P-3m1 (No. 164), with a = 6.2560 Å, b = 6.2560 Å, c = 9.2108 Å, α = 90.00°, β = 90.00° and γ = 120.00°. Symmetry generates all atoms from Tm at (0.0000, 0.0000, 0.0000), Tm at (0.3333, 0.6667, 0.7515), Sb at (0.0000, 0.0000, 0.5000), As at (0.3333, 0.6667, 0.1711), Rh at (0.0000, 0.5000, 0.0000) and Rh at (0.1416, 0.2832, 0.2694).

Record 6
DFT (PBE) results for a relaxed USb2As2Rh7 crystal.

The crystal system is monoclinic. The uncorrected formation energy comes out at -0.44 eV/atom.

It has space group C2/m (No. 12), with a = 5.553 Å, b = 5.572 Å, c = 14.667 Å, α = 90.00°, β = 97.23° and γ = 90.00°. Symmetry generates all atoms from U at (0.000, 0.000, 0.000), Sb at (0.147, 0.000, 0.415), As at (0.081, 0.500, 0.243), Rh at (0.000, 0.500, 0.000), Rh at (0.120, 0.500, 0.412) and Rh at (0.203, 0.250, 0.860).

Record 7
DFT (PBE) results for a relaxed Sb2AsRhW crystal.

The crystal system is tetragonal. The uncorrected formation energy comes out at 1.50 eV/atom.

It has space group P4/mmm (No. 123), with a = 5.218 Å, b = 5.218 Å, c = 4.637 Å, α = 90.00°, β = 90.00° and γ = 90.00°. Symmetry generates all atoms from Sb at (0.000, 0.500, 0.000), As at (0.000, 0.000, 0.000), Rh at (0.500, 0.500, 0.500) and W at (0.000, 0.000, 0.500).

Record 8
DFT (PBE) results for a relaxed Y3SbAs2Rh9 crystal.

The crystal system is trigonal. The uncorrected formation energy comes out at -0.45 eV/atom.

It has space group P-3m1 (No. 164), with a = 6.2544 Å, b = 6.2544 Å, c = 9.2805 Å, α = 90.00°, β = 90.00° and γ = 120.00°. Symmetry generates all atoms from Y at (0.0000, 0.0000, 0.0000), Y at (0.3333, 0.6667, 0.7421), Sb at (0.0000, 0.0000, 0.5000), As at (0.3333, 0.6667, 0.1696), Rh at (0.0000, 0.5000, 0.0000) and Rh at (0.1425, 0.2850, 0.2724).

Record 9
DFT (PBE) results for a relaxed ZnSbAs2Rh crystal.

The crystal system is tetragonal. The uncorrected formation energy comes out at 0.70 eV/atom.

It has space group P4/mmm (No. 123), with a = 4.786 Å, b = 4.786 Å, c = 4.722 Å, α = 90.00°, β = 90.00° and γ = 90.00°. Symmetry generates all atoms from Zn at (0.000, 0.000, 0.000), Sb at (0.500, 0.500, 0.500), As at (0.000, 0.500, 0.000) and Rh at (0.000, 0.000, 0.500).

Record 10
DFT (PBE) results for a relaxed ZrSbAs2Rh crystal.

The crystal system is tetragonal. The uncorrected formation energy comes out at 0.13 eV/atom.

It has space group P4/mmm (No. 123), with a = 4.666 Å, b = 4.666 Å, c = 5.352 Å, α = 90.00°, β = 90.00° and γ = 90.00°. Symmetry generates all atoms from Zr at (0.000, 0.000, 0.000), Sb at (0.500, 0.500, 0.000), As at (0.000, 0.500, 0.500) and Rh at (0.000, 0.000, 0.500).

Record 11
DFT (PBE) results for a relaxed ScAs2Rh crystal.

The crystal system is orthorhombic. As for the formation energy from the elements: -452.1 meV/atom.

It has space group Pmmm (No. 47), with a = 3.022 Å, b = 3.296 Å, c = 6.791 Å, α = 90.00°, β = 90.00° and γ = 90.00°. Symmetry generates all atoms from Sc at (0.000, 0.000, 0.000), As at (0.500, 0.500, 0.271) and Rh at (0.000, 0.000, 0.500).

Number 1: total DFT energy (no corrections) -0.266 Ry/atom, mass density 6.30 g/cm3. Number 2: total DFT energy (no corrections) -0.548 Ry/atom, mass density 10.59 g/cm3. Number 3: total DFT energy (no corrections) -0.548 Ry/atom, mass density 11.30 g/cm3. Number 4: total DFT energy (no corrections) -0.498 Ry/atom, mass density 9.63 g/cm3. Number 5: total DFT energy (no corrections) -0.489 Ry/atom, mass density 9.07 g/cm3. Number 6: total DFT energy (no corrections) -0.524 Ry/atom, mass density 9.97 g/cm3. Number 7: total DFT energy (no corrections) -0.378 Ry/atom, mass density 7.96 g/cm3. Number 8: total DFT energy (no corrections) -0.518 Ry/atom, mass density 7.74 g/cm3. Number 9: total DFT energy (no corrections) -0.273 Ry/atom, mass density 6.75 g/cm3. Number 10: total DFT energy (no corrections) -0.422 Ry/atom, mass density 6.64 g/cm3. Number 11: total DFT energy (no corrections) -0.456 Ry/atom, mass density 7.31 g/cm3.